SCAN BaCrNi, single point on PBEsol structure; space-group type = I4mm; ΔH_f (0 K) = 50 kJ per mole of atoms; crystal system = tetragonal
1.0
-2.395 1.847 -1.463
-1.351 -2.786 -1.305
-1.362 -0.104 5.958
Ni Cr Ba
1 1 1
direct
0.720 0.720 0.440 Ni
0.275 0.275 0.551 Cr
0.005 0.005 0.010 Ba



SCAN NiRuSe2, single point on PBEsol structure; space-group type = Fm-3m; crystal system = cubic
1.0
4.315 0.000 0.000
2.157 3.737 0.000
2.157 1.246 3.523
Ru Se Ni
1 2 1
direct
0.000 0.000 0.000 Ru
0.750 0.750 0.750 Se
0.250 0.250 0.250 Se
0.500 0.500 0.500 Ni



SCAN MnNiH2, single point on PBEsol structure; space-group type = I-42d; crystal system = tetragonal
1.0
3.809 0.000 0.000
0.000 3.809 0.000
-1.904 -1.904 3.991
H Ni Mn
4 2 2
direct
0.125 0.106 0.750 H
0.894 0.375 0.250 H
0.625 0.644 0.750 H
0.356 0.875 0.250 H
0.250 0.750 0.500 Ni
0.000 0.000 0.000 Ni
0.500 0.500 0.000 Mn
0.750 0.250 0.500 Mn



The calculation returns the following size of the total moment values, one per record and in order: 1.286, 0.000, 1.000 μB/atom.
The calculation returns the following uncorrected energy values, one per record and in order: -24.19, -22.52, -10.41 eV/atom.